Below is an optimized crystal structure of TaZnAu3, with properties calculated at the GGA-PBE level.

The volume comes out at 20.6 A^3/atom. The calculation puts the size of the total moment at 0.306 μB per atom. As for the density of states at the Fermi level: 0.70 states/eV/atom. The space-group type is No. 221. For the formation enthalpy at 0 K, the calculation gives 0.89 eV/atom. The calculation puts the energy at -3.70 eV/atom.

a b c (Å): 4.686 4.686 4.686
angles (deg): 90.00 90.00 90.00
Element x y z (fractional)
Ta1 0.000 0.000 0.000
Zn1 0.500 0.500 0.500
Au1 0.000 0.500 0.500
Au2 0.500 0.000 0.500
Au3 0.500 0.500 0.000